1.
Below is a relaxed structure of Sm6Hg2Os, with properties calculated at the PBE level.

Summary:
**Electronic total energy**: -4.651 eV per atom
**Energy relative to the elements**: -0.19 eV/atom
**Polymorph energy (0 for the lowest one)**: 0.18 eV/f.u.
**ρ**: 9.7 Mg/m³
**Total moment**: 0.000 μB per formula unit
**Space group**: Immm, No. 71

Geometry as POSCAR:
```
Sm6Hg2Os
1.0
-4.882 5.070 5.182
4.882 -5.070 5.182
4.882 5.070 -5.182
Sm Hg Os
12 4 2
Direct
0.078 0.245 0.833 Sm
0.182 0.269 0.451 Sm
0.182 0.731 0.914 Sm
0.265 0.598 0.333 Sm
0.265 0.932 0.667 Sm
0.412 0.245 0.167 Sm
0.588 0.755 0.833 Sm
0.735 0.068 0.333 Sm
0.735 0.402 0.667 Sm
0.818 0.269 0.086 Sm
0.818 0.731 0.549 Sm
0.922 0.755 0.167 Sm
0.355 0.000 0.355 Hg
0.500 0.355 0.855 Hg
0.500 0.645 0.145 Hg
0.645 0.000 0.645 Hg
0.000 0.000 0.000 Os
0.000 0.500 0.500 Os
```

***

2.
Below is a relaxed structure of Sm3HgOs, with properties calculated at the PBE level.

Summary:
**Electronic total energy**: -5.359 eV per atom
**Energy relative to the elements**: -0.22 eV/atom
**Polymorph energy (0 for the lowest one)**: 0.31 eV/f.u.
**ρ**: 9.8 Mg/m³
**Total moment**: 0.000 μB per formula unit
**Space group**: P2_1/m, No. 11

Geometry as POSCAR:
```
Sm3HgOs
1.0
7.793 0.000 0.000
0.000 4.398 0.000
-2.282 0.000 8.365
Sm Hg Os
6 2 2
Direct
0.070 0.250 0.277 Sm
0.298 0.250 0.928 Sm
0.336 0.750 0.591 Sm
0.664 0.250 0.409 Sm
0.702 0.750 0.072 Sm
0.930 0.750 0.723 Sm
0.347 0.750 0.205 Hg
0.653 0.250 0.795 Hg
0.099 0.250 0.608 Os
0.901 0.750 0.392 Os
```

***

3.
Below is a relaxed structure of Sm3HgOs, with properties calculated at the PBE level.

Summary:
**Electronic total energy**: -5.422 eV per atom
**Energy relative to the elements**: -0.28 eV/atom
**Polymorph energy (0 for the lowest one)**: 0.00 eV/f.u.
**ρ**: 10.5 Mg/m³
**Total moment**: 0.000 μB per formula unit
**Space group**: Fmmm, No. 69

Geometry as POSCAR:
```
Sm3HgOs
1.0
0.000 5.006 8.055
3.312 0.000 8.055
3.312 5.006 0.000
Sm Hg Os
6 2 2
Direct
0.199 0.199 0.801 Sm
0.200 0.580 0.420 Sm
0.420 0.800 0.200 Sm
0.580 0.200 0.800 Sm
0.800 0.420 0.580 Sm
0.801 0.801 0.199 Sm
0.212 0.788 0.788 Hg
0.788 0.212 0.212 Hg
0.250 0.250 0.250 Os
0.750 0.750 0.750 Os
```

***

4.
Below is a relaxed structure of Sm6HgOs2, with properties calculated at the PBE level.

Summary:
**Electronic total energy**: -5.892 eV per atom
**Energy relative to the elements**: -0.22 eV/atom
**ρ**: 9.9 Mg/m³
**Total moment**: 0.000 μB per formula unit
**Space group**: Immm, No. 71

Geometry as POSCAR:
```
Sm6HgOs2
1.0
-4.807 4.875 5.283
4.807 -4.875 5.283
4.807 4.875 -5.283
Sm Hg Os
12 2 4
Direct
0.036 0.241 0.795 Sm
0.184 0.279 0.463 Sm
0.184 0.721 0.905 Sm
0.329 0.017 0.688 Sm
0.329 0.641 0.312 Sm
0.445 0.241 0.205 Sm
0.555 0.759 0.795 Sm
0.671 0.359 0.688 Sm
0.671 0.983 0.312 Sm
0.816 0.279 0.095 Sm
0.816 0.721 0.537 Sm
0.964 0.759 0.205 Sm
0.000 0.000 0.000 Hg
0.500 0.500 0.000 Hg
0.118 0.618 0.500 Os
0.331 0.000 0.331 Os
0.669 0.000 0.669 Os
0.882 0.382 0.500 Os
```

***

5.
Below is a relaxed structure of Sm5Hg2Os, with properties calculated at the PBE level.

Summary:
**Electronic total energy**: -4.743 eV per atom
**Energy relative to the elements**: -0.31 eV/atom
**ρ**: 9.8 Mg/m³
**Total moment**: 0.000 μB per formula unit
**Space group**: Pbam, No. 55

Geometry as POSCAR:
```
Sm5Hg2Os
1.0
7.678 0.000 0.000
0.000 12.217 0.000
0.000 0.000 4.834
Sm Hg Os
10 4 2
Direct
0.000 0.000 0.000 Sm
0.147 0.297 0.000 Sm
0.179 0.577 0.500 Sm
0.321 0.077 0.500 Sm
0.353 0.797 0.000 Sm
0.500 0.500 0.000 Sm
0.647 0.203 0.000 Sm
0.679 0.923 0.500 Sm
0.821 0.423 0.500 Sm
0.853 0.703 0.000 Sm
0.073 0.834 0.500 Hg
0.427 0.334 0.500 Hg
0.573 0.666 0.500 Hg
0.927 0.166 0.500 Hg
0.000 0.500 0.000 Os
0.500 0.000 0.000 Os
```

***

6.
Below is a relaxed structure of Sm6Hg2Os, with properties calculated at the PBE level.

Summary:
**Electronic total energy**: -4.671 eV per atom
**Energy relative to the elements**: -0.21 eV/atom
**Polymorph energy (0 for the lowest one)**: 0.00 eV/f.u.
**ρ**: 8.9 Mg/m³
**Total moment**: 0.000 μB per formula unit
**Space group**: P2_1/c, No. 14

Geometry as POSCAR:
```
Sm6Hg2Os
1.0
7.055 0.000 0.000
0.000 7.596 0.000
-6.989 0.000 10.445
Sm Hg Os
12 4 2
Direct
0.133 0.013 0.248 Sm
0.133 0.487 0.748 Sm
0.230 0.689 0.053 Sm
0.230 0.811 0.553 Sm
0.366 0.189 0.054 Sm
0.366 0.311 0.554 Sm
0.634 0.689 0.446 Sm
0.634 0.811 0.946 Sm
0.770 0.189 0.447 Sm
0.770 0.311 0.947 Sm
0.867 0.513 0.252 Sm
0.867 0.987 0.752 Sm
0.293 0.098 0.751 Hg
0.293 0.402 0.251 Hg
0.707 0.598 0.749 Hg
0.707 0.902 0.249 Hg
0.500 0.000 0.500 Os
0.500 0.500 0.000 Os
```

***

7.
Below is a relaxed structure of TbSmHgOs, with properties calculated at the PBE level.

Summary:
**Electronic total energy**: -5.428 eV per atom
**Energy relative to the elements**: -0.21 eV/atom
**ρ**: 12.6 Mg/m³
**Total moment**: 0.000 μB per formula unit
**Space group**: F-43m, No. 216

Geometry as POSCAR:
```
TbSmHgOs
1.0
0.000 3.590 3.590
3.590 0.000 3.590
3.590 3.590 0.000
Tb Sm Hg Os
1 1 1 1
Direct
0.000 0.000 0.000 Tb
0.500 0.500 0.500 Sm
0.750 0.750 0.750 Hg
0.250 0.250 0.250 Os
```

***

8.
Below is a relaxed structure of SmThHgOs, with properties calculated at the PBE level.

Summary:
**Electronic total energy**: -6.184 eV per atom
**Energy relative to the elements**: -0.27 eV/atom
**Polymorph energy (0 for the lowest one)**: 0.00 eV/f.u.
**ρ**: 11.3 Mg/m³
**Total moment**: 0.000 μB per formula unit
**Space group**: R3m, No. 160

Geometry as POSCAR:
```
SmThHgOs
1.0
2.094 1.209 7.512
-2.094 1.209 7.512
0.000 -2.418 7.512
Sm Th Hg Os
1 1 1 1
Direct
0.000 0.000 0.000 Sm
0.203 0.203 0.203 Th
0.765 0.765 0.765 Hg
0.598 0.598 0.598 Os
```

***

9.
Below is a relaxed structure of SmThHgOs, with properties calculated at the PBE level.

Summary:
**Electronic total energy**: -6.077 eV per atom
**Energy relative to the elements**: -0.16 eV/atom
**Polymorph energy (0 for the lowest one)**: 0.43 eV/f.u.
**ρ**: 13.1 Mg/m³
**Total moment**: 0.000 μB per formula unit
**Space group**: F-43m, No. 216

Geometry as POSCAR:
```
SmThHgOs
1.0
0.000 3.660 3.660
3.660 0.000 3.660
3.660 3.660 0.000
Sm Th Hg Os
1 1 1 1
Direct
0.000 0.000 0.000 Sm
0.500 0.500 0.500 Th
0.750 0.750 0.750 Hg
0.250 0.250 0.250 Os
```

***

10.
Below is a relaxed structure of SmTmHgOs, with properties calculated at the PBE level.

Summary:
**Electronic total energy**: -5.531 eV per atom
**Energy relative to the elements**: -0.35 eV/atom
**Polymorph energy (0 for the lowest one)**: 0.00 eV/f.u.
**ρ**: 12.8 Mg/m³
**Total moment**: 0.000 μB per formula unit
**Space group**: P4mm, No. 99

Geometry as POSCAR:
```
SmTmHgOs
1.0
3.465 0.000 0.000
0.000 3.465 0.000
0.000 0.000 7.685
Sm Tm Hg Os
1 1 1 1
Direct
0.000 0.000 0.000 Sm
0.000 0.000 0.565 Tm
0.500 0.500 0.297 Hg
0.500 0.500 0.772 Os
```

***

11.
Below is a relaxed structure of SmTmHgOs, with properties calculated at the PBE level.

Summary:
**Electronic total energy**: -5.406 eV per atom
**Energy relative to the elements**: -0.23 eV/atom
**Polymorph energy (0 for the lowest one)**: 0.50 eV/f.u.
**ρ**: 13.1 Mg/m³
**Total moment**: 0.000 μB per formula unit
**Space group**: F-43m, No. 216

Geometry as POSCAR:
```
SmTmHgOs
1.0
0.000 3.561 3.561
3.561 0.000 3.561
3.561 3.561 0.000
Sm Tm Hg Os
1 1 1 1
Direct
0.000 0.000 0.000 Sm
0.500 0.500 0.500 Tm
0.250 0.250 0.250 Hg
0.750 0.750 0.750 Os
```

***

12.
Below is a relaxed structure of SmYHgOs, with properties calculated at the PBE level.

Summary:
**Electronic total energy**: -5.889 eV per atom
**Energy relative to the elements**: -0.21 eV/atom
**ρ**: 11.3 Mg/m³
**Total moment**: 0.000 μB per formula unit
**Space group**: F-43m, No. 216

Geometry as POSCAR:
```
SmYHgOs
1.0
0.000 3.587 3.587
3.587 0.000 3.587
3.587 3.587 0.000
Sm Y Hg Os
1 1 1 1
Direct
0.000 0.000 0.000 Sm
0.500 0.500 0.500 Y
0.750 0.750 0.750 Hg
0.250 0.250 0.250 Os
```